No. 1
# HfTlSbF2 | Alexandria | SCAN | PBEsol geometry
# - ΔE_f (raw) (meV/atom) = -659
# - size of the total moment (μB per atom) = 0.00
# - raw total energy (Ha/atom) = -1.3426
# - DOS at the Fermi energy (states/eV per cell) = 1.2
data_HfTlSbF2
_cell_length_a 4.272
_cell_length_b 4.272
_cell_length_c 6.221
_cell_angle_alpha 90.00
_cell_angle_beta 90.00
_cell_angle_gamma 90.00
_space_group_name_H-M_alt 'P 1'
_space_group_IT_number 1
loop_
_space_group_symop_operation_xyz
'x,y,z'
loop_
_atom_site_label
_atom_site_type_symbol
_atom_site_fract_x
_atom_site_fract_y
_atom_site_fract_z
Tl1 Tl 0.000 0.000 0.000
F1 F 0.500 0.000 0.000
F2 F 0.000 0.500 0.000
Sb1 Sb 0.500 0.500 0.500
Hf1 Hf 0.000 0.000 0.500

No. 2
# Hf3ScF | Alexandria | SCAN | PBEsol geometry
# - ΔE_f (raw) (meV/atom) = -579
# - size of the total moment (μB per atom) = 0.00
# - raw total energy (Ha/atom) = -1.5338
# - DOS at the Fermi energy (states/eV per cell) = 4.8
data_Hf3ScF
_cell_length_a 4.532
_cell_length_b 4.532
_cell_length_c 4.532
_cell_angle_alpha 90.00
_cell_angle_beta 90.00
_cell_angle_gamma 90.00
_space_group_name_H-M_alt 'P 1'
_space_group_IT_number 1
loop_
_space_group_symop_operation_xyz
'x,y,z'
loop_
_atom_site_label
_atom_site_type_symbol
_atom_site_fract_x
_atom_site_fract_y
_atom_site_fract_z
Hf1 Hf 0.000 0.000 0.500
Hf2 Hf 0.500 0.000 0.000
Hf3 Hf 0.000 0.500 0.000
F1 F 0.000 0.000 0.000
Sc1 Sc 0.500 0.500 0.500